(1)
First-principles (PBE-GGA) data for a relaxed structure of Pm2Dy3Zn2, as listed in the Alexandria database.

Output
As for the magnetization: 0.00 μB/f.u. The density of states at the Fermi level is 1.22 states/eV per atom. The energy above the most stable polymorph in this dataset comes out at 42 meV/atom.

Cell lengths 11.5207, 4.7299, 8.1405 Å; angles 90.00, 116.90, 90.00 degrees
Closest atoms and distances in Å follow each position.
Space group C2/m (No. 12)
Asymmetric unit:
Pm  0.1363  0.0000  0.2926  4 Zn 3.19-3.42, 2 Dy 3.56
Dy  0.0000  0.5000  0.5000  4 Zn 2.90
Dy  0.1343  0.5000  0.9638  1 Zn 2.82
Zn  0.1445  0.0000  0.6900  3 Dy 2.82-2.90



(2)
First-principles (PBE-GGA) data for a relaxed structure of Pm9Dy4Zn11, as listed in the Alexandria database.

Output
As for the magnetization: 0.00 μB/f.u. The density of states at the Fermi level is 0.96 states/eV per atom.

Cell lengths 15.3674, 21.8258, 3.5220 Å; angles 90.00, 90.00, 90.00 degrees
Closest atoms and distances in Å follow each position.
Space group Cmmm (No. 65)
Asymmetric unit:
Pm  0.0000  0.0000  0.0000  4 Dy 3.16, 4 Zn 3.39, 2 Pm 3.52
Pm  0.1155  0.2403  0.0000  8 Zn 3.11-3.43, 1 Dy 3.33
Pm  0.1189  0.4125  0.0000  8 Zn 3.12-3.23, 1 Dy 3.39
Dy  0.1603  0.0909  0.0000  6 Zn 3.05-3.16, 3 Pm 3.16-3.39
Zn  0.0000  0.1329  0.5000  4 Dy 3.16, 6 Pm 3.39-3.43, 2 Zn 3.52
Zn  0.0000  0.3294  0.5000  8 Pm 3.12-3.17
Zn  0.0000  0.5000  0.5000  8 Pm 3.18, 2 Zn 3.52
Zn  0.2374  0.3205  0.5000  2 Dy 3.05, 1 Zn 3.10, 6 Pm 3.11-3.23
Zn  0.2404  0.5000  0.5000  4 Dy 3.06, 4 Pm 3.20



(3)
First-principles (PBE-GGA) data for a relaxed structure of PmDy2Zn, as listed in the Alexandria database.

Output
As for the magnetization: 0.00 μB/f.u. The density of states at the Fermi level is 1.31 states/eV per atom. The energy above the most stable polymorph in this dataset comes out at 248 meV/atom.

Cell lengths 7.5873, 7.5873, 7.5873 Å; angles 90.00, 90.00, 90.00 degrees
Closest atoms and distances in Å follow each position.
Space group Fm-3m (No. 225)
Asymmetric unit:
Pm  0.0000  0.0000  0.0000  8 Dy 3.29
Dy  0.2500  0.2500  0.2500  4 Pm 3.29, 4 Zn 3.29
Zn  0.0000  0.0000  0.5000  8 Dy 3.29



(4)
First-principles (PBE-GGA) data for a relaxed structure of PmDy2Zn, as listed in the Alexandria database.

Output
As for the magnetization: 0.00 μB/f.u. The density of states at the Fermi level is 0.82 states/eV per atom. The energy above the most stable polymorph in this dataset comes out at 92 meV/atom.

Cell lengths 3.5878, 3.5878, 31.1086 Å; angles 90.00, 90.00, 120.00 degrees
Closest atoms and distances in Å follow each position.
Space group R-3m (No. 166, hexagonal axes)
Asymmetric unit:
Pm  0.0000  0.0000  0.0000  6 Pm 3.59, 6 Dy 3.61
Dy  0.0000  0.0000  0.2383  3 Zn 3.04
Zn  0.0000  0.0000  0.5000  6 Dy 3.04



(5)
First-principles (PBE-GGA) data for a relaxed structure of PmDy2Zn, as listed in the Alexandria database.

Output
As for the magnetization: 0.00 μB/f.u. The density of states at the Fermi level is 1.36 states/eV per atom. The energy above the most stable polymorph in this dataset comes out at 131 meV/atom.

Cell lengths 4.7705, 4.7705, 4.7785 Å; angles 90.00, 90.00, 90.00 degrees
Closest atoms and distances in Å follow each position.
Space group P4/mmm (No. 123)
Asymmetric unit:
Pm  0.0000  0.0000  0.0000  4 Zn 3.37, 8 Dy 3.38
Dy  0.0000  0.5000  0.5000  4 Dy 3.37, 4 Pm 3.38, 4 Zn 3.38
Zn  0.5000  0.5000  0.0000  4 Pm 3.37, 8 Dy 3.38



(6)
First-principles (PBE-GGA) data for a relaxed structure of PmDy4Zn5, as listed in the Alexandria database.

Output
As for the magnetization: 0.00 μB/f.u. The density of states at the Fermi level is 1.18 states/eV per atom.

Cell lengths 3.5841, 3.5841, 17.9382 Å; angles 90.00, 90.00, 90.00 degrees
Closest atoms and distances in Å follow each position.
Space group P4/mmm (No. 123)
Asymmetric unit:
Pm  0.0000  0.0000  0.0000  8 Zn 3.18
Dy  0.0000  0.0000  0.2035  8 Zn 3.07-3.09
Dy  0.0000  0.0000  0.4014  8 Zn 3.09-3.10
Zn  0.5000  0.5000  0.1068  4 Dy 3.07, 4 Pm 3.18
Zn  0.5000  0.5000  0.3020  8 Dy 3.09-3.10
Zn  0.5000  0.5000  0.5000  8 Dy 3.09



(7)
First-principles (PBE-GGA) data for a relaxed structure of PmDy2Zn, as listed in the Alexandria database.

Output
As for the magnetization: 0.00 μB/f.u. The density of states at the Fermi level is 1.14 states/eV per atom. The energy above the most stable polymorph in this dataset comes out at 109 meV/atom.

Cell lengths 3.6119, 3.6119, 30.9252 Å; angles 90.00, 90.00, 120.00 degrees
Closest atoms and distances in Å follow each position.
Space group R3m (No. 160, hexagonal axes)
Asymmetric unit:
Pm  0.0000  0.0000  0.0000  6 Pm 3.61, 6 Dy 3.61-3.64
Dy  0.0000  0.0000  0.5703  3 Zn 3.03
Dy  0.0000  0.0000  0.7621  3 Zn 3.02
Zn  0.0000  0.0000  0.1659  6 Dy 3.02-3.03



(8)
First-principles (PBE-GGA) data for a relaxed structure of PmDy5Zn4, as listed in the Alexandria database.

Output
As for the magnetization: 0.00 μB/f.u. The density of states at the Fermi level is 1.18 states/eV per atom.

Cell lengths 3.5699, 3.5699, 19.4255 Å; angles 90.00, 90.00, 90.00 degrees
Closest atoms and distances in Å follow each position.
Space group P4/mmm (No. 123)
Asymmetric unit:
Pm  0.0000  0.0000  0.0000  4 Pm 3.57, 8 Dy 3.63
Dy  0.5000  0.5000  0.1341  4 Zn 3.08
Dy  0.5000  0.5000  0.3174  8 Zn 3.07-3.10
Dy  0.5000  0.5000  0.5000  8 Zn 3.10
Zn  0.0000  0.0000  0.2251  8 Dy 3.08-3.10
Zn  0.0000  0.0000  0.4074  8 Dy 3.07-3.10



(9)
First-principles (PBE-GGA) data for a relaxed structure of PmDy2Zn2, as listed in the Alexandria database.

Output
As for the magnetization: 0.00 μB/f.u. The density of states at the Fermi level is 0.95 states/eV per atom. The energy above the most stable polymorph in this dataset comes out at 63 meV/atom.

Cell lengths 5.2694, 15.3633, 6.2357 Å; angles 90.00, 90.00, 90.00 degrees
Closest atoms and distances in Å follow each position.
Space group Cmc2_1 (No. 36)
Asymmetric unit:
Pm  0.0000  0.0841  0.0000  4 Zn 3.14-3.43, 4 Dy 3.40-3.49
Dy  0.0000  0.2983  0.2415  7 Zn 2.89-3.23
Dy  0.0000  0.4584  0.8513  3 Zn 2.85-3.09
Zn  0.0000  0.1259  0.5074  1 Zn 2.75
Zn  0.0000  0.2795  0.7332  1 Zn 2.75, 3 Dy 2.85-2.89



(10)
First-principles (PBE-GGA) data for a relaxed structure of PmDy3Zn2, as listed in the Alexandria database.

Output
As for the magnetization: 0.00 μB/f.u. The density of states at the Fermi level is 0.94 states/eV per atom.

Cell lengths 3.5710, 3.5710, 12.2851 Å; angles 90.00, 90.00, 90.00 degrees
Closest atoms and distances in Å follow each position.
Space group P4/mmm (No. 123)
Asymmetric unit:
Pm  0.0000  0.0000  0.0000  4 Pm 3.57, 8 Dy 3.63
Dy  0.5000  0.5000  0.2121  4 Zn 3.09
Dy  0.5000  0.5000  0.5000  8 Zn 3.08
Zn  0.0000  0.0000  0.3567  8 Dy 3.08-3.09



(11)
First-principles (PBE-GGA) data for a relaxed structure of PmDy3Zn4, as listed in the Alexandria database.

Output
As for the magnetization: 0.00 μB/f.u. The density of states at the Fermi level is 1.14 states/eV per atom.

Cell lengths 5.0583, 5.0583, 7.2304 Å; angles 90.00, 90.00, 90.00 degrees
Closest atoms and distances in Å follow each position.
Space group P4/mmm (No. 123)
Asymmetric unit:
Pm  0.0000  0.0000  0.0000  8 Zn 3.14
Dy  0.0000  0.0000  0.5000  8 Zn 3.08
Dy  0.5000  0.5000  0.0000  8 Zn 3.14
Dy  0.5000  0.5000  0.5000  8 Zn 3.08
Zn  0.0000  0.5000  0.2566  6 Dy 3.08-3.14, 2 Pm 3.14



(12)
First-principles (PBE-GGA) data for a relaxed structure of PmDy2Zn2, as listed in the Alexandria database.

Output
As for the magnetization: 0.00 μB/f.u. The density of states at the Fermi level is 1.06 states/eV per atom. The energy above the most stable polymorph in this dataset comes out at 0 meV/atom.

Cell lengths 3.6297, 5.2226, 13.4046 Å; angles 90.00, 97.80, 90.00 degrees
Closest atoms and distances in Å follow each position.
Space group P2_1/m (No. 11)
Asymmetric unit:
Pm  0.1441  0.2500  0.2863  6 Zn 3.14-3.18
Dy  0.0464  0.7500  0.0928  8 Zn 3.07-3.18
Dy  0.2323  0.7500  0.4653  2 Zn 3.05-3.06, 4 Dy 3.31
Zn  0.3598  0.2500  0.7198  4 Dy 3.05-3.08, 4 Pm 3.18
Zn  0.4535  0.7500  0.9064  6 Dy 3.07-3.18, 2 Pm 3.14



Energy per entry: -3.78 -3.37 -3.72 -3.88 -3.84 -3.29 -3.86 -3.56 -3.50 -3.75 -3.29 -3.56 eV per atom
Formation enthalpy at 0 K per entry: -0.087 -0.237 0.086 -0.070 -0.031 -0.333 -0.054 -0.271 -0.195 -0.229 -0.332 -0.258 eV per atom